Density functional theory data (PBE) for crystalline Mg2Hg2Pb at its relaxed geometry.

- ΔE_f (eV/f.u.) = -0.26
- E above lowest polymorph (meV per atom) = 69
- E (eV/cell) = -7.76
- density (g cm⁻³) = 8.48
- symmetry = No. 139
- crystal system = tetragonal

Cell lengths 4.565, 4.565, 6.968 Å; angles 70.88, 70.88, 90.00 degrees
Fractional coordinates of all 5 atoms:
Pb1 0.000 0.000 0.000
Mg1 0.750 0.250 0.500
Mg2 0.250 0.750 0.500
Hg1 0.385 0.385 0.229
Hg2 0.615 0.615 0.771


Density functional theory data (PBE) for crystalline Cs2KNa at its relaxed geometry.

- ΔE_f (eV/f.u.) = 0.32
- E above lowest polymorph (meV per atom) = 66
- E (eV/cell) = -7.61
- density (g cm⁻³) = 1.61
- symmetry = No. 122
- crystal system = tetragonal

Cell lengths 12.159, 12.159, 9.741 Å; angles 51.39, 51.39, 90.00 degrees
Fractional coordinates of all 8 atoms:
Cs1 0.593 0.125 0.250
Cs2 0.157 0.625 0.250
Cs3 0.375 0.407 0.750
Cs4 0.875 0.843 0.750
Na1 0.500 0.500 0.000
Na2 0.250 0.750 0.500
K1 0.000 0.000 0.000
K2 0.750 0.250 0.500


Density functional theory data (PBE) for crystalline TiSi2Ni2 at its relaxed geometry.

- formation energy from raw total energies (eV per formula unit) = -3.133
- E (eV/cell) = -66.87
- density (g cm⁻³) = 5.64
- symmetry = No. 129
- crystal system = tetragonal

Cell lengths 3.607, 3.608, 10.023 Å; angles 90.02, 90.00, 90.00 degrees
Fractional coordinates of all 10 atoms:
Ti1 0.250 0.749 0.267
Ti2 0.750 0.251 0.733
Si1 0.250 0.750 0.640
Si2 0.750 0.250 0.360
Si3 0.250 0.250 0.000
Si4 0.750 0.750 0.000
Ni1 0.250 0.750 0.859
Ni2 0.750 0.250 0.141
Ni3 0.250 0.250 0.500
Ni4 0.750 0.750 0.500


Density functional theory data (PBE) for crystalline Al2CdHg2 at its relaxed geometry.

- ΔE_f (eV/f.u.) = 0.77
- E above lowest polymorph (meV per atom) = 0
- E (eV/cell) = -16.47
- density (g cm⁻³) = 8.54
- symmetry = No. 127
- crystal system = tetragonal

Cell lengths 7.432, 7.432, 3.994 Å; angles 90.00, 90.00, 90.00 degrees
Fractional coordinates of all 10 atoms:
Al1 0.372 0.872 0.000
Al2 0.872 0.628 0.000
Al3 0.628 0.128 0.000
Al4 0.128 0.372 0.000
Hg1 0.178 0.678 0.500
Hg2 0.678 0.822 0.500
Hg3 0.822 0.322 0.500
Hg4 0.322 0.178 0.500
Cd1 0.000 0.000 0.000
Cd2 0.500 0.500 0.000


Density functional theory data (PBE) for crystalline Rb2NbTcAg at its relaxed geometry.

- ΔE_f (eV/f.u.) = 10.59
- E (eV/cell) = -14.63
- density (g cm⁻³) = 3.05
- symmetry = No. 123
- crystal system = tetragonal

Cell lengths 6.915, 5.342, 6.915 Å; angles 90.00, 90.00, 90.00 degrees
Last column: magnetic moment on the atom in μB.
Fractional coordinates of all 5 atoms:
Rb1 0.000 0.000 0.500  0.05
Rb2 0.500 0.000 0.000  0.04
Nb1 0.000 0.000 0.000  3.00
Tc1 0.500 0.500 0.500  3.66
Ag1 0.000 0.500 0.000  0.09


Density functional theory data (PBE) for crystalline NaYOs2Au at its relaxed geometry.

- ΔE_f (eV/f.u.) = 10.59
- E (eV/cell) = -22.93
- density (g cm⁻³) = 9.34
- symmetry = No. 123
- crystal system = tetragonal

Cell lengths 4.878, 5.151, 4.878 Å; angles 90.00, 90.00, 90.00 degrees
Last column: magnetic moment on the atom in μB.
Fractional coordinates of all 5 atoms:
Y1 0.000 0.000 0.000  -0.06
Os1 0.000 0.000 0.500  0.55
Os2 0.500 0.000 0.000  0.72
Au1 0.500 0.500 0.500  0.02
Na1 0.000 0.500 0.000  -0.01


Density functional theory data (PBE) for crystalline LaYRu3 at its relaxed geometry.

- ΔE_f (eV/f.u.) = 5.19
- E above lowest polymorph (meV per atom) = 0
- E (eV/cell) = -34.03
- density (g cm⁻³) = 7.78
- symmetry = No. 221
- crystal system = cubic

Cell lengths 4.839, 4.839, 4.839 Å; angles 90.00, 90.00, 90.00 degrees
Last column: magnetic moment on the atom in μB.
Fractional coordinates of all 5 atoms:
Y1 0.500 0.500 0.500  -0.04
Ru1 0.000 0.500 0.000  0.28
Ru2 0.000 0.000 0.500  0.26
Ru3 0.500 0.000 0.000  0.17
La1 0.000 0.000 0.000  -0.04


Density functional theory data (PBE) for crystalline Li2MoAs at its relaxed geometry.

- ΔE_f (eV/f.u.) = 0.10
- E (eV/cell) = -19.21
- density (g cm⁻³) = 5.47
- symmetry = No. 216
- crystal system = cubic

Cell lengths 4.297, 4.297, 4.297 Å; angles 60.00, 60.00, 60.00 degrees
Last column: magnetic moment on the atom in μB.
Fractional coordinates of all 4 atoms:
As1 0.500 0.500 0.500  0.00
Li1 0.000 0.000 0.000  0.00
Li2 0.750 0.750 0.750  0.00
Mo1 0.250 0.250 0.250  0.36